4
Lattice="3.480 0.000 0.000 0.000 4.656 0.000 -1.207 0.000 5.696" Properties=species:S:1:pos:R:3 comment="AgHg2Pb, single point on PBEsol structure, DFT SCAN" m_tot_mub_per_fu=0.0 space_group="Pm, No. 6" formation_enthalpy_0k_kj_per_mol_atoms=8.7 final_energy_ev_per_atom=-60.78 pbc="T T T"
Ag 0.000 0.000 0.000
Hg 0.158 2.328 1.693
Hg 2.009 0.000 2.707
Pb 0.624 2.328 4.696

***

6
Lattice="0.000 3.893 3.893 3.893 0.000 3.893 3.893 3.893 0.000" Properties=species:S:1:pos:R:3 comment="Ag4HgPb, single point on PBEsol structure, DFT SCAN" m_tot_mub_per_fu=0.0 space_group="F-43m, No. 216" formation_enthalpy_0k_kj_per_mol_atoms=11.0 final_energy_ev_per_atom=-44.79 pbc="T T T"
Ag 0.971 0.971 0.971
Ag 2.922 2.922 0.971
Ag 2.922 0.971 2.922
Ag 0.971 2.922 2.922
Hg 5.840 5.840 5.840
Pb 3.893 3.893 3.893

***

- What is the formula in the second record?
  Ag4HgPb